Computed, not measured: a geometry-optimized Ac4PaPt5 structure at the GGA-PBE level of DFT.

Geometry as CIF:
```
data_Ac4PaPt5
_space_group_name_H-M_alt 'I 4/m'
_space_group_IT_number 87
_space_group_name_Hall '-I 4'
_cell_length_a 9.6727
_cell_length_b 9.6727
_cell_length_c 6.1334
_cell_angle_alpha 90.00
_cell_angle_beta 90.00
_cell_angle_gamma 90.00
loop_
_atom_site_label
_atom_site_type_symbol
_atom_site_fract_x
_atom_site_fract_y
_atom_site_fract_z
Ac1 Ac 0.0970 0.7027 0.0000
Pa1 Pa 0.0000 0.0000 0.5000
Pt1 Pt 0.0000 0.0000 0.0000
Pt2 Pt 0.0909 0.7236 0.5000
```

Output
- formation energy (eV/atom) = -1.1010
- crystal system = tetragonal
- density of states at the Fermi level (states/eV per cell) = 9.9

Computed, not measured: a geometry-optimized Ac2PaPt12Rh3 structure at the GGA-PBE level of DFT.

Geometry as CIF:
```
data_Ac2PaPt12Rh3
_space_group_name_H-M_alt 'R -3 m'
_space_group_IT_number 166
_space_group_name_Hall '-R 3 2"'
_cell_length_a 8.2794
_cell_length_b 8.2794
_cell_length_c 20.5844
_cell_angle_alpha 90.00
_cell_angle_beta 90.00
_cell_angle_gamma 120.00
loop_
_atom_site_label
_atom_site_type_symbol
_atom_site_fract_x
_atom_site_fract_y
_atom_site_fract_z
Ac1 Ac 0.0000 0.0000 0.1164
Pa1 Pa 0.0000 0.0000 0.5000
Pt1 Pt 0.0015 0.5008 0.6301
Pt2 Pt 0.0148 0.5074 0.8762
Rh1 Rh 0.0000 0.5000 0.0000
```

Output
- formation energy (eV/atom) = -0.0451
- crystal system = trigonal
- density of states at the Fermi level (states/eV per cell) = 52.5

Computed, not measured: a geometry-optimized Ac2PaSb3Pt4 structure at the GGA-PBE level of DFT.

Geometry as CIF:
```
data_Ac2PaSb3Pt4
_space_group_name_H-M_alt 'P -4 m 2'
_space_group_IT_number 115
_cell_length_a 4.6942
_cell_length_b 4.6942
_cell_length_c 11.2537
_cell_angle_alpha 90.00
_cell_angle_beta 90.00
_cell_angle_gamma 90.00
loop_
_space_group_symop_operation_xyz
'x,y,z'
'y,-x,-z'
'-x,-y,z'
'-y,x,-z'
'-x,y,z'
'-y,-x,-z'
'x,-y,z'
'y,x,-z'
loop_
_atom_site_label
_atom_site_type_symbol
_atom_site_fract_x
_atom_site_fract_y
_atom_site_fract_z
Ac1 Ac 0.0000 0.5000 0.2210
Pa1 Pa 0.0000 0.0000 0.5000
Sb1 Sb 0.0000 0.5000 0.8764
Sb2 Sb 0.5000 0.5000 0.5000
Pt1 Pt 0.0000 0.0000 0.0000
Pt2 Pt 0.0000 0.5000 0.6401
Pt3 Pt 0.5000 0.5000 0.0000
```

Output
- formation energy (no corrections) (meV per atom) = -870
- crystal system = tetragonal
- density of states at the Fermi level (states/eV per cell) = 7.6

Computed, not measured: a geometry-optimized AcPaSi2Pt2 structure at the GGA-PBE level of DFT.

Geometry as CIF:
```
data_AcPaSi2Pt2
_space_group_name_H-M_alt 'P -3 m 1'
_space_group_IT_number 164
_space_group_name_Hall '-P 3 2"'
_cell_length_a 4.3045
_cell_length_b 4.3045
_cell_length_c 8.1250
_cell_angle_alpha 90.00
_cell_angle_beta 90.00
_cell_angle_gamma 120.00
loop_
_atom_site_label
_atom_site_type_symbol
_atom_site_fract_x
_atom_site_fract_y
_atom_site_fract_z
Ac1 Ac 0.0000 0.0000 0.0000
Pa1 Pa 0.0000 0.0000 0.5000
Si1 Si 0.3333 0.6667 0.7172
Pt1 Pt 0.3333 0.6667 0.2765
```

Output
- formation energy (no corrections) (meV per atom) = -1048
- crystal system = trigonal
- density of states at the Fermi level (states/eV per cell) = 2.0

Computed, not measured: a geometry-optimized Ac2PaSi3Pt12 structure at the GGA-PBE level of DFT.

Geometry as CIF:
```
data_Ac2PaSi3Pt12
_space_group_name_H-M_alt 'R -3 m'
_space_group_IT_number 166
_space_group_name_Hall '-R 3 2"'
_cell_length_a 8.2742
_cell_length_b 8.2742
_cell_length_c 19.4815
_cell_angle_alpha 90.00
_cell_angle_beta 90.00
_cell_angle_gamma 120.00
loop_
_atom_site_label
_atom_site_type_symbol
_atom_site_fract_x
_atom_site_fract_y
_atom_site_fract_z
Ac1 Ac 0.0000 0.0000 0.1033
Pa1 Pa 0.0000 0.0000 0.5000
Si1 Si 0.0000 0.5000 0.0000
Pt1 Pt 0.0187 0.5093 0.8769
Pt2 Pt 0.0369 0.5185 0.3642
```

Output
- formation energy (no corrections) (meV per atom) = -608
- crystal system = trigonal
- density of states at the Fermi level (states/eV per cell) = 27.6

Computed, not measured: a geometry-optimized AcPuPa structure at the GGA-PBE level of DFT.

Geometry as CIF:
```
data_AcPuPa
_space_group_name_H-M_alt 'I 4 m m'
_space_group_IT_number 107
_space_group_name_Hall 'I 4 -2'
_cell_length_a 3.5463
_cell_length_b 3.5463
_cell_length_c 14.3952
_cell_angle_alpha 90.00
_cell_angle_beta 90.00
_cell_angle_gamma 90.00
loop_
_atom_site_label
_atom_site_type_symbol
_atom_site_fract_x
_atom_site_fract_y
_atom_site_fract_z
Ac1 Ac 0.0000 0.0000 0.0000
Pu1 Pu 0.0000 0.0000 0.6954
Pa1 Pa 0.0000 0.0000 0.3212
```

Output
- formation energy (eV/atom) = 0.2571
- crystal system = tetragonal
- density of states at the Fermi level (states/eV per cell) = 14.5

Computed, not measured: a geometry-optimized Ac2PuPa2Rh5 structure at the GGA-PBE level of DFT.

Geometry as CIF:
```
data_Ac2PuPa2Rh5
_space_group_name_H-M_alt 'P 4/m b m'
_space_group_IT_number 127
_space_group_name_Hall '-P 4 2ab'
_cell_length_a 11.4006
_cell_length_b 11.4006
_cell_length_c 3.5489
_cell_angle_alpha 90.00
_cell_angle_beta 90.00
_cell_angle_gamma 90.00
loop_
_atom_site_label
_atom_site_type_symbol
_atom_site_fract_x
_atom_site_fract_y
_atom_site_fract_z
Ac1 Ac 0.1672 0.3328 0.0000
Pu1 Pu 0.0000 0.0000 0.0000
Pa1 Pa 0.1390 0.6390 0.0000
Rh1 Rh 0.0000 0.5000 0.5000
Rh2 Rh 0.0647 0.8028 0.5000
```

Output
- formation energy (eV/atom) = -0.4979
- crystal system = tetragonal
- density of states at the Fermi level (states/eV per cell) = 37.2

Computed, not measured: a geometry-optimized AcPuPa2S8 structure at the GGA-PBE level of DFT.

Geometry as CIF:
```
data_AcPuPa2S8
_space_group_name_H-M_alt 'P 1 2/m 1'
_space_group_IT_number 10
_cell_length_a 6.3207
_cell_length_b 8.5069
_cell_length_c 6.3246
_cell_angle_alpha 90.00
_cell_angle_beta 91.87
_cell_angle_gamma 90.00
loop_
_space_group_symop_operation_xyz
'x,y,z'
'-x,-y,-z'
'-x,y,-z'
'x,-y,z'
loop_
_atom_site_label
_atom_site_type_symbol
_atom_site_fract_x
_atom_site_fract_y
_atom_site_fract_z
Ac1 Ac 0.0000 0.0000 0.0000
Pu1 Pu 0.0000 0.5000 0.0000
Pa1 Pa 0.5000 0.2539 0.5000
S1 S 0.1624 0.2657 0.2512
S2 S 0.3462 0.5000 0.7153
S3 S 0.3691 0.0000 0.7157
```

Output
- formation energy (no corrections) (meV per atom) = -1613
- crystal system = monoclinic
- density of states at the Fermi level (states/eV per cell) = 14.2

Computed, not measured: a geometry-optimized Rb3Ac2PaS6 structure at the GGA-PBE level of DFT.

Geometry as CIF:
```
data_Rb3Ac2PaS6
_space_group_name_H-M_alt 'C 1 2/m 1'
_space_group_IT_number 12
_cell_length_a 7.5119
_cell_length_b 13.0056
_cell_length_c 8.1336
_cell_angle_alpha 90.00
_cell_angle_beta 107.99
_cell_angle_gamma 90.00
loop_
_space_group_symop_operation_xyz
'x,y,z'
'-x,-y,-z'
'-x,y,-z'
'x,-y,z'
'x+1/2,y+1/2,z'
'-x+1/2,-y+1/2,-z'
'-x+1/2,y+1/2,-z'
'x+1/2,-y+1/2,z'
loop_
_atom_site_label
_atom_site_type_symbol
_atom_site_fract_x
_atom_site_fract_y
_atom_site_fract_z
Rb1 Rb 0.0000 0.0000 0.0000
Rb2 Rb 0.0000 0.3314 0.0000
Ac1 Ac 0.0000 0.1666 0.5000
Pa1 Pa 0.0000 0.5000 0.5000
S1 S 0.2230 0.3441 0.7007
S2 S 0.2445 0.5000 0.2995
```

Output
- formation energy (no corrections) (meV per atom) = -1697
- crystal system = monoclinic
- density of states at the Fermi level (states/eV per cell) = 14.2

Computed, not measured: a geometry-optimized RbAcPaS4 structure at the GGA-PBE level of DFT.

Geometry as CIF:
```
data_RbAcPaS4
_space_group_name_H-M_alt 'I m m a'
_space_group_IT_number 74
_space_group_name_Hall '-I 2b 2'
_cell_length_a 8.4008
_cell_length_b 9.0774
_cell_length_c 12.6107
_cell_angle_alpha 90.00
_cell_angle_beta 90.00
_cell_angle_gamma 90.00
loop_
_atom_site_label
_atom_site_type_symbol
_atom_site_fract_x
_atom_site_fract_y
_atom_site_fract_z
Rb1 Rb 0.0000 0.2500 0.1335
Ac1 Ac 0.0000 0.0000 0.5000
Pa1 Pa 0.2500 0.2500 0.7500
S1 S 0.0000 0.0516 0.7365
S2 S 0.2260 0.2500 0.5345
```

Output
- formation energy (no corrections) (meV per atom) = -1722
- crystal system = orthorhombic
- density of states at the Fermi level (states/eV per cell) = 22.8

Computed, not measured: a geometry-optimized RbAc2PaSe6 structure at the GGA-PBE level of DFT.

Geometry as CIF:
```
data_RbAc2PaSe6
_space_group_name_H-M_alt 'R 3'
_space_group_IT_number 146
_space_group_name_Hall 'R 3'
_cell_length_a 7.8094
_cell_length_b 7.8094
_cell_length_c 20.8010
_cell_angle_alpha 90.00
_cell_angle_beta 90.00
_cell_angle_gamma 120.00
loop_
_atom_site_label
_atom_site_type_symbol
_atom_site_fract_x
_atom_site_fract_y
_atom_site_fract_z
Rb1 Rb 0.0000 0.0000 0.0000
Ac1 Ac 0.0000 0.0000 0.2132
Ac2 Ac 0.0000 0.0000 0.7341
Pa1 Pa 0.0000 0.0000 0.5357
Se1 Se 0.0374 0.3525 0.1304
Se2 Se 0.0955 0.7249 0.2898
```

Output
- formation energy (no corrections) (meV per atom) = -1664
- crystal system = trigonal
- density of states at the Fermi level (states/eV per cell) = 0.0

Please write out number 3 again, unchanged.
Computed, not measured: a geometry-optimized Ac2PaSb3Pt4 structure at the GGA-PBE level of DFT.

Geometry as CIF:
```
data_Ac2PaSb3Pt4
_space_group_name_H-M_alt 'P -4 m 2'
_space_group_IT_number 115
_cell_length_a 4.6942
_cell_length_b 4.6942
_cell_length_c 11.2537
_cell_angle_alpha 90.00
_cell_angle_beta 90.00
_cell_angle_gamma 90.00
loop_
_space_group_symop_operation_xyz
'x,y,z'
'y,-x,-z'
'-x,-y,z'
'-y,x,-z'
'-x,y,z'
'-y,-x,-z'
'x,-y,z'
'y,x,-z'
loop_
_atom_site_label
_atom_site_type_symbol
_atom_site_fract_x
_atom_site_fract_y
_atom_site_fract_z
Ac1 Ac 0.0000 0.5000 0.2210
Pa1 Pa 0.0000 0.0000 0.5000
Sb1 Sb 0.0000 0.5000 0.8764
Sb2 Sb 0.5000 0.5000 0.5000
Pt1 Pt 0.0000 0.0000 0.0000
Pt2 Pt 0.0000 0.5000 0.6401
Pt3 Pt 0.5000 0.5000 0.0000
```

Output
- formation energy (no corrections) (meV per atom) = -870
- crystal system = tetragonal
- density of states at the Fermi level (states/eV per cell) = 7.6

- Which value of density of states at the Fermi level does entry 1 give?
  9.9 states/eV per cell

- Number 4 is which compound?
  AcPaSi2Pt2

- What is the density of states at the Fermi level in the tenth record?
  22.8 states/eV per cell